Below is CsGaSnCl6 after structural relaxation, with properties calculated at the PBE level.

Computed properties:
DFT total energy	-3.372	eV per atom
uncorrected formation energy	-1265	meV per atom
density	2.75	g/cm³
density of states at the Fermi level	0.00	states/eV/cell

a b c (Å): 7.0354 7.0354 7.5201
angles (deg): 90.00 90.00 120.00
Space group P312 (No. 149)
Inequivalent atoms, fractional coordinates:
1 Cs 0.0000 0.0000 0.0000 [1 per cell]
2 Ga 0.3333 0.6667 0.5000 [1 per cell]
3 Sn 0.6667 0.3333 0.5000 [1 per cell]
4 Cl 0.0488 0.3967 0.3119 [6 per cell]



Below is RbBi2SbO8 after structural relaxation, with properties calculated at the PBE level.

Computed properties:
DFT total energy	-5.410	eV per atom
uncorrected formation energy	-1034	meV per atom
density	5.73	g/cm³
density of states at the Fermi level	7.58	states/eV/cell

a b c (Å): 5.072 5.491 8.198
angles (deg): 88.28 79.19 76.90
Space group P-1 (No. 2)
Inequivalent atoms, fractional coordinates:
1 Rb 0.000 0.000 0.000 [1 per cell]
2 Bi 0.375 0.479 0.310 [2 per cell]
3 Sb 0.000 0.000 0.500 [1 per cell]
4 O 0.032 0.254 0.661 [2 per cell]
5 O 0.131 0.468 0.994 [2 per cell]
6 O 0.201 0.159 0.305 [2 per cell]
7 O 0.356 0.736 0.518 [2 per cell]



Number 1: volume 322.4 Å³/cell. Number 2: volume 218.4 Å³/cell.